No. 1
Below is ZrTlGa2Mo at its PBEsol-relaxed geometry, with properties calculated at the SCAN level.

Lattice parameters (Å, degrees): 4.7059 4.7059 5.1557 90.00 90.00 90.00
Last column: nearest neighbours and their distance in Å.
Atoms (fractional coordinates):
Ga 0.0000 0.5000 0.0000  2 Mo 2.35
Ga 0.5000 0.0000 0.0000  2 Mo 2.35
Mo 0.0000 0.0000 0.0000  4 Ga 2.35, 2 Tl 2.58
Zr 0.5000 0.5000 0.5000  4 Tl 3.33, 8 Ga 3.49
Tl 0.0000 0.0000 0.5000  2 Mo 2.58

Computed properties:
D(E_F) = 3.8 states/eV/cell
total DFT energy (no corrections) = -167.56 eV per cell
space group = P4/mmm
ΔE_f = 0.62 eV per atom

***

No. 2
Below is YGa2Mo2 at its PBEsol-relaxed geometry, with properties calculated at the SCAN level.

Lattice parameters (Å, degrees): 3.8306 3.8306 6.5983 106.87 106.87 90.00
Last column: nearest neighbours and their distance in Å.
Atoms (fractional coordinates):
Mo 0.7500 0.2500 0.5000  4 Ga 2.62, 4 Mo 2.71
Y 0.0000 0.0000 0.0000  8 Ga 2.97
Ga 0.3987 0.3987 0.7975  1 Ga 2.44, 4 Mo 2.62
Ga 0.6013 0.6013 0.2025  1 Ga 2.44, 4 Mo 2.62
Mo 0.2500 0.7500 0.5000  4 Ga 2.62, 4 Mo 2.71

Computed properties:
D(E_F) = 1.1 states/eV/cell
total DFT energy (no corrections) = -132.40 eV per cell
space group = I4/mmm
ΔE_f = -0.42 eV per atom